[1]
Below is a geometry-optimized KTl2O structure, with properties calculated at the GGA-PBEsol level.

Unit cell a=7.218 b=7.218 c=7.218 alpha=90.00 beta=90.00 gamma=90.00
Space group Fm-3m (No. 225)
Unique sites:
1 K 0.000 0.000 0.000 (multiplicity 4)
2 Tl 0.250 0.250 0.250 (multiplicity 8)
3 O 0.000 0.000 0.500 (multiplicity 4)

Values from the calculation:
Its total DFT energy (no corrections) is -2.838 eV per atom. The density comes out at 8.2 g/cm3. Its magnetic moment is 0.00 μB/cell.



[2]
Below is a geometry-optimized TaCoSi2 structure, with properties calculated at the GGA-PBEsol level.

Unit cell a=8.830 b=2.831 c=4.448 alpha=90.00 beta=107.56 gamma=90.00
Space group Cm (No. 8)
Unique sites:
1 Ta 0.000 0.000 0.000 (multiplicity 2)
2 Co 0.246 0.000 0.630 (multiplicity 2)
3 Si 0.018 0.500 0.504 (multiplicity 2)
4 Si 0.259 0.500 0.204 (multiplicity 2)

Values from the calculation:
Its total DFT energy (no corrections) is -8.281 eV per atom. The density comes out at 9.3 g/cm3. Its magnetic moment is 0.01 μB/cell.